DFT (PBE-GGA) results for a relaxed structure of Th2GaCu.

Unit cell a=3.3278 b=3.3278 c=32.4839 alpha=90.00 beta=90.00 gamma=120.00
Last column: nearest neighbours and their distance in Å.
Space group R-3m (No. 166, hexagonal axes)
Inequivalent atoms, fractional coordinates:
Th 0.0000 0.0000 0.0888 (multiplicity 6)  1 Cu 2.88, 3 Ga 3.18
Ga 0.0000 0.0000 0.5000 (multiplicity 3)  6 Th 3.18, 6 Ga 3.33
Cu 0.0000 0.0000 0.0000 (multiplicity 3)  2 Th 2.88

## Properties
As for the total magnetic moment: 0.00 μB/f.u. Its raw total energy is -61.5 eV for the cell shown. Its crystal system is trigonal.